[1]
Computed, not measured: BaSrTl2Pd after structural relaxation at the PBE level of DFT.

```
BaSrTl2Pd
1.0
5.538 0.000 0.000
0.000 5.538 0.000
0.000 0.000 5.574
Pd Tl Ba Sr
1 2 1 1
direct
0.000 0.000 0.000
0.500 0.000 0.000
0.000 0.500 0.000
0.500 0.500 0.500
0.000 0.000 0.500
```

Results
Its mass density is 7.189 g/cm³. The crystal system is tetragonal. The calculation puts the volume at 34.19 Å³ per atom. Its energy relative to the elements is -0.278 eV/atom. The value obtained for the total magnetization is 0.00 μB/cell. The density of states at the Fermi level comes out at 0.90 states/eV per atom.

---

[2]
Computed, not measured: Ba2SrZnPd after structural relaxation at the PBE level of DFT.

```
Ba2SrZnPd
1.0
6.200 0.000 0.000
0.000 5.891 0.000
0.000 0.000 6.200
Sr Ba Zn Pd
1 2 1 1
direct
0.000 0.500 0.000
0.000 0.000 0.500
0.500 0.000 0.000
0.500 0.500 0.500
0.000 0.000 0.000
```

Results
Its mass density is 3.917 g/cm³. The crystal system is tetragonal. The calculation puts the volume at 45.29 Å³ per atom. Its energy relative to the elements is -0.152 eV/atom. The value obtained for the total magnetization is 0.00 μB/cell. The density of states at the Fermi level comes out at 0.61 states/eV per atom.

---

[3]
Computed, not measured: Ba2SrZnPd after structural relaxation at the PBE level of DFT.

```
Ba2SrZnPd
1.0
6.275 0.000 0.000
0.000 6.275 0.000
0.000 0.000 5.153
Pd Ba Zn Sr
1 2 1 1
direct
0.000 0.000 0.000
0.500 0.000 0.000
0.000 0.500 0.000
0.000 0.000 0.500
0.500 0.500 0.500
```

Results
Its mass density is 4.372 g/cm³. The crystal system is tetragonal. The calculation puts the volume at 40.57 Å³ per atom. Its energy relative to the elements is -0.150 eV/atom. The value obtained for the total magnetization is 0.00 μB/cell. The density of states at the Fermi level comes out at 1.27 states/eV per atom.

---

[4]
Computed, not measured: BaSrZn2Pd2 after structural relaxation at the PBE level of DFT.

```
BaSrZn2Pd2
1.0
4.486 0.000 0.000
-2.243 3.885 0.000
0.000 0.000 8.901
Zn Ba Pd Sr
2 1 2 1
direct
0.333 0.667 0.266
0.667 0.333 0.734
0.000 0.000 0.000
0.667 0.333 0.264
0.333 0.667 0.736
0.000 0.000 0.500
```

Results
Its mass density is 6.087 g/cm³. The crystal system is trigonal. The calculation puts the volume at 25.85 Å³ per atom. Its energy relative to the elements is -0.548 eV/atom. The value obtained for the total magnetization is 0.00 μB/cell. The density of states at the Fermi level comes out at 0.32 states/eV per atom.

---

[5]
Computed, not measured: Ba2TaPd after structural relaxation at the PBE level of DFT.

```
Ba2TaPd
1.0
0.000 4.045 4.045
4.045 0.000 4.045
4.045 4.045 0.000
Ba Pd Ta
2 1 1
direct
0.750 0.750 0.750
0.250 0.250 0.250
0.000 0.000 0.000
0.500 0.500 0.500
```

Results
The energy relative to the lowest polymorph listed for this composition is 0 meV/atom. Its mass density is 7.052 g/cm³. The crystal system is cubic. The calculation puts the volume at 33.09 Å³ per atom. Its energy relative to the elements is 0.814 eV/atom. The value obtained for the total magnetization is 4.78 μB/cell. The density of states at the Fermi level comes out at 0.66 states/eV per atom.

---

[6]
Computed, not measured: Ba3TaPd after structural relaxation at the PBE level of DFT.

```
Ba3TaPd
1.0
6.069 0.000 0.000
0.000 6.069 0.000
0.000 0.000 6.069
Ba Pd Ta
3 1 1
direct
0.000 0.500 0.000
0.000 0.000 0.500
0.500 0.000 0.000
0.000 0.000 0.000
0.500 0.500 0.500
```

Results
The energy relative to the lowest polymorph listed for this composition is 0 meV/atom. Its mass density is 5.194 g/cm³. The crystal system is cubic. The calculation puts the volume at 44.71 Å³ per atom. Its energy relative to the elements is 0.739 eV/atom. The value obtained for the total magnetization is 4.42 μB/cell. The density of states at the Fermi level comes out at 0.59 states/eV per atom.

---

[7]
Computed, not measured: Ba2TaPd after structural relaxation at the PBE level of DFT.

```
Ba2TaPd
1.0
8.971 0.000 0.000
0.000 8.971 0.000
4.485 4.485 3.243
Ba Pd Ta
4 2 2
direct
0.584 0.125 0.250
0.375 0.416 0.750
0.166 0.625 0.250
0.875 0.834 0.750
0.500 0.500 0.000
0.250 0.750 0.500
0.000 0.000 0.000
0.750 0.250 0.500
```

Results
The energy relative to the lowest polymorph listed for this composition is 104 meV/atom. Its mass density is 7.153 g/cm³. The crystal system is tetragonal. The calculation puts the volume at 32.62 Å³ per atom. Its energy relative to the elements is 0.919 eV/atom. The value obtained for the total magnetization is 5.99 μB/cell. The density of states at the Fermi level comes out at 1.36 states/eV per atom.

---

[8]
Computed, not measured: BaTaPd2 after structural relaxation at the PBE level of DFT.

```
BaTaPd2
1.0
-1.720 -0.715 4.633
-3.919 2.623 1.640
-4.396 -2.260 0.710
Ta Ba Pd
1 1 2
direct
0.500 0.500 0.500
0.000 0.000 0.000
0.250 0.250 0.250
0.750 0.750 0.750
```

Results
The energy relative to the lowest polymorph listed for this composition is 158 meV/atom. Its mass density is 10.019 g/cm³. The crystal system is cubic. The calculation puts the volume at 22.01 Å³ per atom. Its energy relative to the elements is 0.440 eV/atom. The value obtained for the total magnetization is 0.00 μB/cell. The density of states at the Fermi level comes out at 1.34 states/eV per atom.

---

[9]
Computed, not measured: BaTaPd2 after structural relaxation at the PBE level of DFT.

```
BaTaPd2
1.0
7.748 0.000 0.000
0.000 7.748 0.000
3.874 3.874 3.530
Pd Ba Ta
4 2 2
direct
0.049 0.625 0.250
0.701 0.125 0.250
0.875 0.951 0.750
0.375 0.299 0.750
0.500 0.500 0.000
0.250 0.750 0.500
0.000 0.000 0.000
0.750 0.250 0.500
```

Results
The energy relative to the lowest polymorph listed for this composition is 0 meV/atom. Its mass density is 8.323 g/cm³. The crystal system is tetragonal. The calculation puts the volume at 26.49 Å³ per atom. Its energy relative to the elements is 0.282 eV/atom. The value obtained for the total magnetization is 0.00 μB/cell. The density of states at the Fermi level comes out at 1.33 states/eV per atom.

---

[10]
Computed, not measured: Ba2YTaPd after structural relaxation at the PBE level of DFT.

```
Ba2YTaPd
1.0
-5.152 -3.036 0.461
2.721 -4.651 -0.215
0.519 0.028 5.975
Ba Ta Y Pd
2 1 1 1
direct
0.500 0.000 0.000
0.000 0.000 0.500
0.000 0.000 0.000
0.000 0.500 0.000
0.500 0.500 0.500
```

Results
The energy relative to the lowest polymorph listed for this composition is 245 meV/atom. Its mass density is 5.572 g/cm³. The crystal system is tetragonal. The calculation puts the volume at 38.79 Å³ per atom. Its energy relative to the elements is 0.943 eV/atom. The value obtained for the total magnetization is 0.00 μB/cell. The density of states at the Fermi level comes out at 1.16 states/eV per atom.

---

[11]
Computed, not measured: Ba2YTaPd after structural relaxation at the PBE level of DFT.

```
Ba2YTaPd
1.0
-1.754 5.294 -2.633
-0.281 -2.308 -4.453
-5.903 -1.407 1.102
Ba Pd Y Ta
2 1 1 1
direct
0.000 0.000 0.500
0.500 0.000 0.000
0.000 0.000 0.000
0.500 0.500 0.500
0.000 0.500 0.000
```

Results
The energy relative to the lowest polymorph listed for this composition is 0 meV/atom. Its mass density is 5.657 g/cm³. The crystal system is tetragonal. The calculation puts the volume at 38.22 Å³ per atom. Its energy relative to the elements is 0.698 eV/atom. The value obtained for the total magnetization is 1.92 μB/cell. The density of states at the Fermi level comes out at 1.26 states/eV per atom.

---

[12]
Computed, not measured: BaZrTaPd2 after structural relaxation at the PBE level of DFT.

```
BaZrTaPd2
1.0
5.156 0.000 0.000
0.000 5.156 0.000
0.000 0.000 5.033
Ba Pd Zr Ta
1 2 1 1
direct
0.500 0.500 0.500
0.000 0.500 0.000
0.500 0.000 0.000
0.000 0.000 0.500
0.000 0.000 0.000
```

Results
Its mass density is 7.724 g/cm³. The crystal system is tetragonal. The calculation puts the volume at 26.76 Å³ per atom. Its energy relative to the elements is 0.356 eV/atom. The value obtained for the total magnetization is 0.00 μB/cell. The density of states at the Fermi level comes out at 0.86 states/eV per atom.

---

[13]
Computed, not measured: BaTb2Pd after structural relaxation at the PBE level of DFT.

```
BaTb2Pd
1.0
-2.229 2.849 -0.384
-2.825 -2.081 0.960
1.421 2.367 9.308
Tb Ba Pd
2 1 1
direct
0.000 0.000 0.167
0.000 0.000 0.833
0.500 0.500 0.500
0.500 0.500 0.000
```

Results
Its mass density is 7.259 g/cm³. The crystal system is tetragonal. The calculation puts the volume at 32.12 Å³ per atom. Its energy relative to the elements is -0.299 eV/atom. The value obtained for the total magnetization is 0.00 μB/cell. The density of states at the Fermi level comes out at 0.94 states/eV per atom.

---

[14]
Computed, not measured: BaTb3Pd after structural relaxation at the PBE level of DFT.

```
BaTb3Pd
1.0
-5.385 1.225 1.129
0.225 -3.250 4.600
1.651 4.439 3.056
Tb Pd Ba
3 1 1
direct
0.000 0.500 0.000
0.000 0.000 0.500
0.500 0.000 0.000
0.000 0.000 0.000
0.500 0.500 0.500
```

Results
Its mass density is 6.681 g/cm³. The crystal system is cubic. The calculation puts the volume at 35.82 Å³ per atom. Its energy relative to the elements is -0.167 eV/atom. The value obtained for the total magnetization is 0.00 μB/cell. The density of states at the Fermi level comes out at 1.74 states/eV per atom.